Entry 1:
Material: LiSbH3
Method: DFT, PBE
State: optimized geometry

```
LiSbH3
1.0
-0.744 -0.451 -3.112
4.668 -0.726 -1.073
1.735 -5.187 0.295
Li Sb H
1 1 3
Cartesian
1.696 -2.475 -1.829
4.408 -2.564 -0.817
4.022 -5.651 -1.752
3.308 -5.615 -2.014
4.607 -0.855 -1.113
```

Output
**Space group**: P1, No. 1
**Energy relative to the lowest polymorph listed for this composition**: 0 meV/atom
**V**: 15.439 A^3/atom
**Size of the total moment**: 0.00 μB/cell
**N(E_F)**: 0.59 states/eV per cell

---

Entry 2:
Material: CaAc4Mg5
Method: DFT, PBE
State: optimized geometry

```
CaAc4Mg5
1.0
4.109 0.000 0.000
0.000 4.109 0.000
0.000 0.000 20.265
Mg Ca Ac
5 1 4
Cartesian
2.054 2.054 14.245
2.054 2.054 1.865
2.054 2.054 6.020
2.054 2.054 10.132
2.054 2.054 18.400
0.000 0.000 0.000
0.000 0.000 16.283
0.000 0.000 8.064
0.000 0.000 3.982
0.000 0.000 12.201
```

Output
**Space group**: P4/mmm, No. 123
**V**: 34.211 A^3/atom
**Size of the total moment**: 0.00 μB/cell
**N(E_F)**: 10.56 states/eV per cell
**Formation energy**: -0.0815 eV/atom

---

Entry 3:
Material: Pm2SmPt2
Method: DFT, PBE
State: optimized geometry

```
Pm2SmPt2
1.0
4.005 0.000 0.000
0.000 7.530 0.000
-2.003 0.000 8.979
Pt Pm Sm
4 4 2
Cartesian
2.003 4.749 5.508
0.000 0.984 3.471
0.000 0.357 8.010
2.003 4.122 0.969
2.003 0.192 5.557
0.000 1.897 0.563
0.000 3.957 3.423
2.003 5.662 8.416
2.003 6.853 2.225
0.000 3.088 6.754
```

Output
**Space group**: Cmc2_1, No. 36
**Energy relative to the lowest polymorph listed for this composition**: 75 meV/atom
**V**: 27.082 A^3/atom
**Size of the total moment**: 0.00 μB/cell
**N(E_F)**: 8.84 states/eV per cell
**Formation energy**: -0.8833 eV/atom

---

Entry 4:
Material: NaCuBi2
Method: DFT, PBE
State: optimized geometry

```
NaCuBi2
1.0
3.616 0.000 0.000
0.000 3.616 0.000
0.000 0.000 7.864
Bi Cu Na
2 1 1
Cartesian
0.000 0.000 6.272
0.000 0.000 1.592
1.808 1.808 0.000
1.808 1.808 3.932
```

Output
**Space group**: P4/mmm, No. 123
**Energy relative to the lowest polymorph listed for this composition**: 33 meV/atom
**V**: 25.705 A^3/atom
**Size of the total moment**: 0.00 μB/cell
**N(E_F)**: 1.99 states/eV per cell
**Formation energy**: 0.0369 eV/atom